(1)
## Ta2Ir (PBE-GGA)

Data for Ta2Ir after structural relaxation.

The structure in POSCAR format:
```
Ta2Ir
1.0
9.940 0.000 0.000
0.000 9.940 0.000
0.000 0.000 5.123
Ta Ir
20 10
Cartesian
0.372 3.685 0.000
1.035 1.035 0.000
1.285 5.342 2.561
1.777 8.163 1.274
1.777 8.163 3.849
3.193 3.193 1.288
3.193 3.193 3.835
3.685 0.372 0.000
3.935 6.005 2.561
4.598 8.655 2.561
5.342 1.285 2.561
6.005 3.935 2.561
6.255 9.568 0.000
6.747 6.747 1.288
6.747 6.747 3.835
8.163 1.777 1.274
8.163 1.777 3.849
8.655 4.598 2.561
8.905 8.905 0.000
9.568 6.255 0.000
0.000 0.000 2.561
0.694 2.608 2.561
2.362 5.664 0.000
2.608 0.694 2.561
4.276 7.578 0.000
4.970 4.970 0.000
5.664 2.362 0.000
7.332 9.246 2.561
7.578 4.276 0.000
9.246 7.332 2.561
```

Calculated values
formation energy from the elements	-0.522	eV/atom

---

(2)
## Pr2ScCu9 (PBE-GGA)

Data for Pr2ScCu9 after structural relaxation.

The structure in POSCAR format:
```
Pr2ScCu9
1.0
2.562 1.479 8.589
-2.562 1.479 8.589
0.000 -2.958 8.589
Pr Sc Cu
2 1 9
Cartesian
0.000 0.000 3.519
0.000 0.000 22.249
0.000 0.000 0.000
-1.275 -0.736 10.601
0.000 0.000 8.568
0.000 -1.472 15.167
-1.275 0.736 15.167
0.000 0.000 12.884
1.275 -0.736 10.601
0.000 1.472 10.601
0.000 0.000 17.200
1.275 0.736 15.167
```

Calculated values
formation energy from the elements	-0.106	eV/atom

---

(3)
## Cu2PdSe3 (PBE-GGA)

Data for Cu2PdSe3 after structural relaxation.

The structure in POSCAR format:
```
Cu2PdSe3
1.0
9.394 -1.924 0.000
9.394 1.924 0.000
-0.605 0.000 6.528
Cu Pd Se
4 2 6
Cartesian
0.686 0.000 1.087
5.097 0.000 3.738
13.087 0.000 2.790
17.497 0.000 5.440
5.944 0.000 6.323
12.239 0.000 0.204
1.150 0.000 5.436
4.510 0.000 1.392
7.463 0.000 4.149
10.720 0.000 2.378
13.674 0.000 5.136
17.033 0.000 1.092
```

Calculated values
formation energy (no corrections)	-0.1518	eV per atom

---

(4)
## SnPd2Pb2 (PBE-GGA)

Data for SnPd2Pb2 after structural relaxation.

The structure in POSCAR format:
```
SnPd2Pb2
1.0
7.328 0.000 0.000
0.000 7.328 0.000
0.000 0.000 4.264
Sn Pd Pb
2 4 4
Cartesian
0.000 0.000 0.000
3.664 3.664 0.000
1.031 2.633 0.000
2.633 6.297 0.000
4.695 1.031 0.000
6.297 4.695 0.000
1.188 4.852 2.132
2.476 1.188 2.132
4.852 6.140 2.132
6.140 2.476 2.132
```

Calculated values
energy above the most stable polymorph in this dataset	0	meV per atom
formation energy from the elements	-0.195	eV/atom

---

(5)
## NbTePtI2 (PBE-GGA)

Data for NbTePtI2 after structural relaxation.

The structure in POSCAR format:
```
NbTePtI2
1.0
5.416 0.000 0.000
0.000 5.416 0.000
0.000 0.000 5.462
Nb Te Pt I
1 1 1 2
Cartesian
0.000 0.000 0.000
0.000 0.000 2.731
2.708 2.708 2.731
0.000 2.708 0.000
2.708 0.000 0.000
```

Calculated values
energy above the most stable polymorph in this dataset	0	meV per atom
formation energy (no corrections)	0.7952	eV per atom

---

(6)
## AgPb2Cl (PBE-GGA)

Data for AgPb2Cl after structural relaxation.

The structure in POSCAR format:
```
AgPb2Cl
1.0
3.514 0.000 0.000
0.000 4.999 0.000
0.000 0.000 6.093
Ag Pb Cl
1 2 1
Cartesian
0.000 0.000 0.000
0.000 2.500 3.046
1.757 2.500 0.000
1.757 0.000 3.046
```

Calculated values
formation energy (no corrections)	-0.1501	eV per atom

---

(7)
## UMn4Re (PBE-GGA)

Data for UMn4Re after structural relaxation.

The structure in POSCAR format:
```
UMn4Re
1.0
0.000 3.447 3.447
3.447 0.000 3.447
3.447 3.447 0.000
U Mn Re
1 4 1
Cartesian
0.000 0.000 0.000
2.590 2.590 2.590
4.303 4.303 2.590
4.303 2.590 4.303
2.590 4.303 4.303
5.170 5.170 5.170
```

Calculated values
formation energy from the elements	0.177	eV/atom

---

(8)
## LiCa4H2 (PBE-GGA)

Data for LiCa4H2 after structural relaxation.

The structure in POSCAR format:
```
LiCa4H2
1.0
5.562 0.000 0.000
0.000 5.562 0.000
0.000 0.000 12.595
Li Ca H
2 8 4
Cartesian
0.000 0.000 0.000
2.781 2.781 6.297
0.000 0.000 3.188
0.000 0.000 9.407
0.000 2.781 0.000
0.000 2.781 6.297
2.781 0.000 0.000
2.781 0.000 6.297
2.781 2.781 3.109
2.781 2.781 9.486
0.000 0.000 5.314
0.000 0.000 7.280
2.781 2.781 0.983
2.781 2.781 11.612
```

---

(9)
## ZrScTlNi (PBE-GGA)

Data for ZrScTlNi after structural relaxation.

The structure in POSCAR format:
```
ZrScTlNi
1.0
6.833 0.000 0.000
0.000 6.833 0.000
0.000 0.000 6.833
Zr Sc Tl Ni
4 4 4 4
Cartesian
0.000 0.000 0.000
0.000 3.416 3.416
3.416 0.000 3.416
3.416 3.416 0.000
0.000 0.000 3.416
0.000 3.416 0.000
3.416 0.000 0.000
3.416 3.416 3.416
1.708 1.708 1.708
1.708 5.125 5.125
5.125 1.708 5.125
5.125 5.125 1.708
1.708 1.708 5.125
1.708 5.125 1.708
5.125 1.708 1.708
5.125 5.125 5.125
```

Calculated values
formation energy from the elements	-0.127	eV/atom

---

(10)
## Zn2CdSe (PBE-GGA)

Data for Zn2CdSe after structural relaxation.

The structure in POSCAR format:
```
Zn2CdSe
1.0
2.824 0.000 0.000
0.000 3.706 0.000
0.000 0.000 7.522
Zn Cd Se
2 1 1
Cartesian
0.000 0.000 1.846
0.000 0.000 5.676
1.412 1.853 3.761
1.412 1.853 0.000
```

Calculated values
energy above the most stable polymorph in this dataset	194	meV per atom
formation energy (no corrections)	0.0959	eV per atom

---

(11)
## TbNdCdTc (PBE-GGA)

Data for TbNdCdTc after structural relaxation.

The structure in POSCAR format:
```
TbNdCdTc
1.0
7.256 0.000 0.000
0.000 7.256 0.000
0.000 0.000 7.256
Tb Nd Cd Tc
4 4 4 4
Cartesian
0.000 0.000 0.000
0.000 3.628 3.628
3.628 0.000 3.628
3.628 3.628 0.000
0.000 0.000 3.628
0.000 3.628 0.000
3.628 0.000 0.000
3.628 3.628 3.628
1.814 1.814 5.442
1.814 5.442 1.814
5.442 1.814 1.814
5.442 5.442 5.442
1.814 1.814 1.814
1.814 5.442 5.442
5.442 1.814 5.442
5.442 5.442 1.814
```

Calculated values
formation energy from the elements	-0.025	eV/atom

---

(12)
## ZrCdAg (PBE-GGA)

Data for ZrCdAg after structural relaxation.

The structure in POSCAR format:
```
ZrCdAg
1.0
2.973 0.000 0.000
0.000 4.566 0.000
0.000 0.000 8.955
Zr Cd Ag
2 2 2
Cartesian
0.000 0.000 0.000
1.486 2.283 4.478
0.000 0.000 3.001
1.486 2.283 7.479
0.000 0.000 5.988
1.486 2.283 1.510
```

Calculated values
formation energy from the elements	-0.005	eV/atom

---

(13)
## LaOs2RhN (PBE-GGA)

Data for LaOs2RhN after structural relaxation.

The structure in POSCAR format:
```
LaOs2RhN
1.0
4.021 0.000 0.000
0.000 4.021 0.000
0.000 0.000 5.015
La Os Rh N
1 2 1 1
Cartesian
0.000 0.000 0.000
0.000 2.011 2.508
2.011 0.000 2.508
2.011 2.011 0.000
0.000 0.000 2.508
```

Calculated values
formation energy (no corrections)	0.1225	eV per atom

---

(14)
## Cd4FeAu2 (PBE-GGA)

Data for Cd4FeAu2 after structural relaxation.

The structure in POSCAR format:
```
Cd4FeAu2
1.0
5.133 0.000 0.000
0.000 5.133 0.000
0.000 0.000 13.393
Cd Fe Au
8 2 4
Cartesian
0.000 0.000 2.619
0.000 0.000 10.774
0.000 2.566 0.000
0.000 2.566 6.697
2.566 0.000 0.000
2.566 0.000 6.697
2.566 2.566 4.077
2.566 2.566 9.316
0.000 0.000 0.000
2.566 2.566 6.697
0.000 0.000 5.294
0.000 0.000 8.099
2.566 2.566 1.403
2.566 2.566 11.990
```

Calculated values
formation energy from the elements	0.349	eV/atom

---

(15)
## Y2Er3In3 (PBE-GGA)

Data for Y2Er3In3 after structural relaxation.

The structure in POSCAR format:
```
Y2Er3In3
1.0
4.896 0.000 0.000
0.000 4.905 0.000
0.000 0.000 9.086
Y Er In
2 3 3
Cartesian
0.000 0.000 2.156
0.000 0.000 6.930
0.000 2.452 4.543
2.448 2.452 2.152
2.448 2.452 6.934
0.000 2.452 0.000
2.448 0.000 0.000
2.448 0.000 4.543
```

Calculated values
formation energy from the elements	-0.352	eV/atom

---

(16)
## Pm2NdDyP4 (PBE-GGA)

Data for Pm2NdDyP4 after structural relaxation.

The structure in POSCAR format:
```
Pm2NdDyP4
1.0
7.118 0.000 0.000
0.000 4.113 0.000
-2.370 0.000 6.712
Pm Nd Dy P
2 1 1 4
Cartesian
0.000 0.000 0.000
3.559 2.056 0.000
-1.185 2.056 3.356
2.374 0.000 3.356
0.033 0.000 5.026
1.217 2.056 1.706
3.530 2.056 5.005
4.715 0.000 1.686
```

Calculated values
formation energy from the elements	-1.563	eV/atom

---

(17)
## TiCS2N (PBE-GGA)

Data for TiCS2N after structural relaxation.

The structure in POSCAR format:
```
TiCS2N
1.0
4.039 0.000 0.000
0.000 4.039 0.000
0.000 0.000 3.537
Ti C S N
1 1 2 1
Cartesian
0.000 0.000 0.000
2.020 2.020 1.768
0.000 2.020 1.768
2.020 0.000 1.768
2.020 2.020 0.000
```

Calculated values
energy above the most stable polymorph in this dataset	0	meV per atom
formation energy (no corrections)	1.0829	eV per atom

---

(18)
## Hf2MgS (PBE-GGA)

Data for Hf2MgS after structural relaxation.

The structure in POSCAR format:
```
Hf2MgS
1.0
5.376 0.000 0.000
0.000 5.376 0.000
0.000 0.000 15.358
Hf Mg S
8 4 4
Cartesian
0.722 1.344 1.920
1.344 3.410 5.759
1.344 4.655 13.438
1.967 1.344 9.599
3.410 4.032 9.599
4.032 0.722 13.438
4.032 1.967 5.759
4.655 4.032 1.920
0.000 0.000 7.679
0.000 2.688 11.519
2.688 0.000 3.840
2.688 2.688 0.000
0.000 0.000 0.000
0.000 2.688 3.840
2.688 0.000 11.519
2.688 2.688 7.679
```

Calculated values
energy above the most stable polymorph in this dataset	891	meV per atom
formation energy (no corrections)	0.3379	eV per atom

---

(19)
## Pm8DyEr6 (PBE-GGA)

Data for Pm8DyEr6 after structural relaxation.

The structure in POSCAR format:
```
Pm8DyEr6
1.0
4.535 2.618 6.941
-4.535 2.618 6.941
0.000 -5.237 6.941
Pm Dy Er
8 1 6
Cartesian
0.000 0.000 1.616
-0.153 -1.982 7.494
-1.640 1.124 7.494
-1.793 -0.858 13.330
1.793 0.858 7.494
1.640 -1.124 13.330
0.153 1.982 13.330
0.000 0.000 19.208
0.000 0.000 10.412
-3.209 -1.072 9.603
-0.676 -3.315 11.221
-2.533 2.243 11.221
2.533 -2.243 9.603
0.676 3.315 9.603
3.209 1.072 11.221
```

Calculated values
energy above the most stable polymorph in this dataset	0	meV per atom
formation energy from the elements	0.127	eV/atom

---

(20)
## LiNbSbI2 (PBE-GGA)

Data for LiNbSbI2 after structural relaxation.

The structure in POSCAR format:
```
LiNbSbI2
1.0
5.808 0.000 0.000
0.000 5.808 0.000
0.000 0.000 5.379
Li Nb Sb I
1 1 1 2
Cartesian
0.000 0.000 0.000
2.904 2.904 2.689
2.904 2.904 0.000
0.000 2.904 2.689
2.904 0.000 2.689
```

Calculated values
energy above the most stable polymorph in this dataset	0	meV per atom
formation energy (no corrections)	0.0511	eV per atom

---

no.,raw total energy (eV per atom),total moment (Bohr magnetons per cell)
1,-11.377,0.0
2,-4.502,0.0
3,-4.125,0.0
4,-4.556,0.0
5,-3.675,0.0
6,-3.179,0.0
7,-9.893,4.8
8,-2.247,0.0
9,-5.883,1.2
10,-1.641,0.0
11,-5.195,0.0
12,-4.110,0.0
13,-8.490,0.0
14,-2.319,4.9
15,-4.706,1.5
16,-6.627,0.0
17,-5.657,0.0
18,-6.069,0.0
19,-4.538,0.0
20,-3.790,0.9